[1]
DFT (PBE) results for a geometry-optimized Rb2Tm2IrO6 structure.

- Mass density: 7.0 g cm⁻³
- E_form (uncorrected): -2.181 eV per atom
- Volume: 187.89 Å³/f.u.

Geometry as CIF:
```
data_Rb2Tm2IrO6
_chemical_formula_sum 'Rb4 Tm4 Ir2 O12'
_symmetry_space_group_name_H-M 'C 1 2/m 1'
_symmetry_Int_Tables_number 12
_symmetry_space_group_name_Hall '-C 2y'
_cell_length_a 5.750
_cell_length_b 9.865
_cell_length_c 6.860
_cell_angle_alpha 90.00
_cell_angle_beta 105.06
_cell_angle_gamma 90.00
loop_
_atom_site_label
_atom_site_type_symbol
_atom_site_fract_x
_atom_site_fract_y
_atom_site_fract_z
Rb1 Rb 0.000 0.164 0.000
Tm1 Tm 0.000 0.335 0.500
Ir1 Ir 0.000 0.000 0.500
O1 O 0.206 0.158 0.664
O2 O 0.241 0.500 0.666
```

[2]
DFT (PBE) results for a geometry-optimized Rb3Tm3IrO8 structure.

- Mass density: 7.0 g cm⁻³
- E_form (uncorrected): -2.339 eV per atom
- Volume: 255.89 Å³/f.u.

Geometry as CIF:
```
data_Rb3Tm3IrO8
_chemical_formula_sum 'Rb9 Tm9 Ir3 O24'
_symmetry_space_group_name_H-M 'R -3 m'
_symmetry_Int_Tables_number 166
_symmetry_space_group_name_Hall '-R 3 2"'
_cell_length_a 6.7085
_cell_length_b 6.7085
_cell_length_c 19.6967
_cell_angle_alpha 90.00
_cell_angle_beta 90.00
_cell_angle_gamma 120.00
loop_
_atom_site_label
_atom_site_type_symbol
_atom_site_fract_x
_atom_site_fract_y
_atom_site_fract_z
Rb1 Rb 0.0000 0.5000 0.0000
Tm1 Tm 0.0000 0.5000 0.5000
Ir1 Ir 0.0000 0.0000 0.5000
O1 O 0.0000 0.0000 0.2231
O2 O 0.0209 0.5104 0.2214
```

[3]
DFT (PBE) results for a geometry-optimized Rb2TmIrO6 structure.

- Mass density: 7.2 g cm⁻³
- E_form (uncorrected): -1.682 eV per atom
- Volume: 144.79 Å³/f.u.

Geometry as CIF:
```
data_Rb2TmIrO6
_chemical_formula_sum 'Rb8 Tm4 Ir4 O24'
_symmetry_space_group_name_H-M 'F m -3 m'
_symmetry_Int_Tables_number 225
_symmetry_space_group_name_Hall '-F 4 2 3'
_cell_length_a 8.335
_cell_length_b 8.335
_cell_length_c 8.335
_cell_angle_alpha 90.00
_cell_angle_beta 90.00
_cell_angle_gamma 90.00
loop_
_atom_site_label
_atom_site_type_symbol
_atom_site_fract_x
_atom_site_fract_y
_atom_site_fract_z
Rb1 Rb 0.250 0.250 0.250
Tm1 Tm 0.000 0.000 0.000
Ir1 Ir 0.000 0.000 0.500
O1 O 0.000 0.000 0.268
```